[1]
The following is a DFT calculation (PBE-GGA) of a relaxed structure of Ag4Te2I.

- Electronic total energy: -2.76 eV per atom
- E above lowest polymorph: 0.03 eV/f.u.
- Uncorrected formation energy: -0.02 eV/atom

a b c (Å): 8.484 8.482 8.501
angles (deg): 120.04 119.79 90.11
Fractional coordinates of all 14 atoms:
Ag 0.863 0.138 0.276
Ag 0.387 0.611 0.224
Ag 0.862 0.587 0.724
Ag 0.862 0.137 0.724
Ag 0.413 0.138 0.276
Ag 0.388 0.163 0.776
Ag 0.388 0.613 0.776
Ag 0.837 0.612 0.224
Te 0.625 0.375 0.750
Te 0.625 0.875 0.250
Te 0.625 0.375 0.250
Te 0.125 0.375 0.750
I 0.250 0.749 0.500
I 0.000 0.001 0.000

[2]
The following is a DFT calculation (PBE-GGA) of a relaxed structure of TiAgTe2I.

- Electronic total energy: -3.69 eV per atom
- E above lowest polymorph: 0.00 eV/f.u.
- Uncorrected formation energy: 0.03 eV/atom

a b c (Å): 5.281 5.281 5.782
angles (deg): 90.00 90.00 90.00
Fractional coordinates of all 5 atoms:
I 0.000 0.000 0.500
Te 0.000 0.500 0.000
Te 0.500 0.000 0.000
Ag 0.500 0.500 0.500
Ti 0.000 0.000 0.000

[3]
The following is a DFT calculation (PBE-GGA) of a relaxed structure of TlAg2TeI6.

- Electronic total energy: -2.27 eV per atom
- Uncorrected formation energy: -0.21 eV/atom

a b c (Å): 8.016 7.620 9.738
angles (deg): 100.90 117.82 112.90
Each line ends with the local moment (μB).
Fractional coordinates of all 10 atoms:
Tl 0.996 0.497 0.480  0.01
Ag 0.403 0.635 0.078  0.00
Ag 0.590 0.361 0.883  0.00
Te 0.997 0.998 0.980  0.13
I 0.561 0.970 0.783  0.01
I 0.432 0.026 0.177  0.01
I 0.846 0.730 0.214  0.04
I 0.219 0.432 0.244  0.00
I 0.774 0.564 0.717  0.00
I 0.147 0.266 0.747  0.04

[4]
The following is a DFT calculation (PBE-GGA) of a relaxed structure of TlAg2TeI8.

- Electronic total energy: -2.16 eV per atom
- Uncorrected formation energy: -0.19 eV/atom

a b c (Å): 7.994 7.436 9.592
angles (deg): 68.50 89.07 101.09
Fractional coordinates of all 12 atoms:
Tl 0.000 0.000 0.500
Ag 0.361 0.401 0.695
Ag 0.639 0.599 0.305
Te 0.000 0.000 0.000
I 0.023 0.686 0.302
I 0.645 0.783 0.992
I 0.856 0.228 0.149
I 0.977 0.314 0.698
I 0.355 0.217 0.008
I 0.144 0.772 0.851
I 0.525 0.775 0.496
I 0.475 0.225 0.504

[5]
The following is a DFT calculation (PBE-GGA) of a relaxed structure of TlAgTeI2.

- Electronic total energy: -2.33 eV per atom
- E above lowest polymorph: 0.00 eV/f.u.
- Uncorrected formation energy: -0.04 eV/atom

a b c (Å): 5.813 5.813 5.503
angles (deg): 90.00 90.00 90.00
Fractional coordinates of all 5 atoms:
I 0.000 0.500 0.000
I 0.500 0.000 0.000
Tl 0.500 0.500 0.500
Te 0.000 0.000 0.500
Ag 0.000 0.000 0.000

[6]
The following is a DFT calculation (PBE-GGA) of a relaxed structure of TlAgTe2I.

- Electronic total energy: -2.49 eV per atom
- E above lowest polymorph: 0.00 eV/f.u.
- Uncorrected formation energy: 0.12 eV/atom

a b c (Å): 5.488 5.488 5.927
angles (deg): 90.00 90.00 90.00
Fractional coordinates of all 5 atoms:
I 0.000 0.000 0.500
Tl 0.500 0.500 0.500
Te 0.000 0.500 0.000
Te 0.500 0.000 0.000
Ag 0.000 0.000 0.000

[7]
The following is a DFT calculation (PBE-GGA) of a relaxed structure of VAgTeI2.

- Electronic total energy: -3.43 eV per atom
- E above lowest polymorph: 0.00 eV/f.u.
- Uncorrected formation energy: 0.21 eV/atom

a b c (Å): 5.678 5.678 5.157
angles (deg): 90.00 90.00 90.00
Each line ends with the local moment (μB).
Fractional coordinates of all 5 atoms:
I 0.000 0.500 0.000  -0.04
I 0.500 0.000 0.000  -0.04
Te 0.000 0.000 0.500  -0.27
Ag 0.500 0.500 0.500  0.03
V 0.000 0.000 0.000  2.09

[8]
The following is a DFT calculation (PBE-GGA) of a relaxed structure of ZnAgTeI2.

- Electronic total energy: -1.67 eV per atom
- E above lowest polymorph: 0.60 eV/f.u.
- Uncorrected formation energy: 0.40 eV/atom

a b c (Å): 5.619 5.619 5.656
angles (deg): 90.00 90.00 90.00
Fractional coordinates of all 5 atoms:
I 0.000 0.500 0.000
I 0.500 0.000 0.000
Zn 0.500 0.500 0.500
Te 0.000 0.000 0.500
Ag 0.000 0.000 0.000

[9]
The following is a DFT calculation (PBE-GGA) of a relaxed structure of ZnAgTeI2.

- Electronic total energy: -1.79 eV per atom
- E above lowest polymorph: 0.00 eV/f.u.
- Uncorrected formation energy: 0.28 eV/atom

a b c (Å): 5.642 5.642 5.325
angles (deg): 90.00 90.00 90.00
Fractional coordinates of all 5 atoms:
I 0.000 0.500 0.000
I 0.500 0.000 0.000
Zn 0.000 0.000 0.000
Te 0.000 0.000 0.500
Ag 0.500 0.500 0.500

[10]
The following is a DFT calculation (PBE-GGA) of a relaxed structure of ThAgI5.

- Electronic total energy: -3.47 eV per atom
- Uncorrected formation energy: -0.90 eV/atom

a b c (Å): 8.309 8.308 12.141
angles (deg): 112.23 112.24 87.37
Fractional coordinates of all 14 atoms:
Th 0.500 0.000 0.000
Th 0.500 0.000 0.500
Ag 0.877 0.623 0.250
Ag 0.123 0.377 0.750
I 0.708 0.695 0.026
I 0.255 0.660 0.336
I 0.424 0.075 0.250
I 0.805 0.792 0.474
I 0.195 0.208 0.526
I 0.840 0.245 0.164
I 0.160 0.755 0.836
I 0.576 0.925 0.750
I 0.745 0.340 0.664
I 0.292 0.305 0.974

[11]
The following is a DFT calculation (PBE-GGA) of a relaxed structure of ThTlAg2I8.

- Electronic total energy: -2.96 eV per atom
- Uncorrected formation energy: -0.64 eV/atom

a b c (Å): 7.604 7.604 9.773
angles (deg): 91.44 91.44 71.52
Each line ends with the local moment (μB).
Fractional coordinates of all 12 atoms:
Th 0.000 0.000 0.000  0.01
Tl 0.000 0.000 0.500  0.10
Ag 0.666 0.666 0.245  0.02
Ag 0.334 0.334 0.755  0.02
I 0.752 0.244 0.774  0.01
I 0.751 0.751 0.984  0.00
I 0.748 0.748 0.506  0.14
I 0.252 0.252 0.494  0.14
I 0.249 0.249 0.016  0.00
I 0.244 0.752 0.774  0.01
I 0.756 0.248 0.226  0.01
I 0.248 0.756 0.226  0.01

[12]
The following is a DFT calculation (PBE-GGA) of a relaxed structure of TiAg2I8.

- Electronic total energy: -2.71 eV per atom
- Uncorrected formation energy: -0.35 eV/atom

a b c (Å): 7.188 8.733 8.733
angles (deg): 87.59 104.67 104.67
Fractional coordinates of all 11 atoms:
Ti 0.000 0.000 0.000
Ag 0.348 0.826 0.826
Ag 0.652 0.174 0.174
I 0.812 0.906 0.240
I 0.188 0.760 0.094
I 0.698 0.781 0.781
I 0.302 0.219 0.219
I 0.812 0.240 0.906
I 0.188 0.094 0.760
I 0.191 0.582 0.582
I 0.809 0.418 0.418

[13]
The following is a DFT calculation (PBE-GGA) of a relaxed structure of TiAgI4.

- Electronic total energy: -3.16 eV per atom
- E above lowest polymorph: 1.25 eV/f.u.
- Uncorrected formation energy: -0.34 eV/atom

a b c (Å): 8.153 8.153 9.506
angles (deg): 90.00 90.00 90.00
Each line ends with the local moment (μB).
Fractional coordinates of all 12 atoms:
Ti 0.000 0.500 0.000  1.00
Ti 0.500 0.000 0.500  1.00
Ag 0.000 0.000 0.500  0.00
Ag 0.000 0.000 0.000  0.00
I 0.732 0.239 0.500  -0.03
I 0.761 0.268 0.000  -0.03
I 0.732 0.761 0.500  -0.03
I 0.239 0.732 0.000  -0.03
I 0.268 0.761 0.500  -0.03
I 0.239 0.268 0.000  -0.03
I 0.761 0.732 0.000  -0.03
I 0.268 0.239 0.500  -0.03

[14]
The following is a DFT calculation (PBE-GGA) of a relaxed structure of Ti2AgI8.

- Electronic total energy: -3.43 eV per atom
- E above lowest polymorph: 0.00 eV/f.u.
- Uncorrected formation energy: -0.61 eV/atom

a b c (Å): 9.090 8.556 10.199
angles (deg): 132.14 99.62 81.64
Each line ends with the local moment (μB).
Fractional coordinates of all 11 atoms:
Ti 0.212 0.429 0.737  0.52
Ti 0.805 0.568 0.233  0.47
Ag 0.933 0.005 0.180  0.01
I 0.616 0.740 0.461  -0.02
I 0.408 0.362 0.547  -0.02
I 0.732 0.688 0.049  -0.01
I 0.946 0.337 0.557  -0.01
I 0.210 0.835 0.023  -0.01
I 0.275 0.222 0.840  -0.02
I 0.077 0.657 0.367  -0.02
I 0.786 0.157 0.004  -0.01

[15]
The following is a DFT calculation (PBE-GGA) of a relaxed structure of TiAg2I.

- Electronic total energy: -3.14 eV per atom
- E above lowest polymorph: 1.06 eV/f.u.
- Uncorrected formation energy: 0.65 eV/atom

a b c (Å): 5.052 5.052 5.052
angles (deg): 60.00 60.00 60.00
Each line ends with the local moment (μB).
Fractional coordinates of all 4 atoms:
I 0.500 0.500 0.500  0.06
Ag 0.250 0.250 0.250  0.04
Ag 0.750 0.750 0.750  0.04
Ti 0.000 0.000 0.000  1.63

[16]
The following is a DFT calculation (PBE-GGA) of a relaxed structure of TiAg3I.

- Electronic total energy: -2.63 eV per atom
- E above lowest polymorph: 0.00 eV/f.u.
- Uncorrected formation energy: 0.97 eV/atom

a b c (Å): 5.216 5.216 5.216
angles (deg): 90.00 90.00 90.00
Each line ends with the local moment (μB).
Fractional coordinates of all 5 atoms:
I 0.500 0.500 0.500  0.03
Ag 0.000 0.500 0.000  0.07
Ag 0.000 0.000 0.500  0.02
Ag 0.500 0.000 0.000  0.07
Ti 0.000 0.000 0.000  1.32

[17]
The following is a DFT calculation (PBE-GGA) of a relaxed structure of TiAgI2.

- Electronic total energy: -3.28 eV per atom
- E above lowest polymorph: 0.34 eV/f.u.
- Uncorrected formation energy: 0.18 eV/atom

a b c (Å): 5.234 5.234 5.234
angles (deg): 60.00 60.00 60.00
Each line ends with the local moment (μB).
Fractional coordinates of all 4 atoms:
I 0.250 0.250 0.250  -0.04
I 0.750 0.750 0.750  -0.04
Ag 0.500 0.500 0.500  0.02
Ti 0.000 0.000 0.000  1.67

[18]
The following is a DFT calculation (PBE-GGA) of a relaxed structure of TiAgI6.

- Electronic total energy: -2.92 eV per atom
- E above lowest polymorph: 0.09 eV/f.u.
- Uncorrected formation energy: -0.41 eV/atom

a b c (Å): 6.991 7.505 7.942
angles (deg): 57.50 62.14 60.84
Fractional coordinates of all 8 atoms:
Ti 0.000 0.000 0.000
Ag 0.500 0.500 0.500
I 0.074 0.410 0.759
I 0.764 0.086 0.749
I 0.612 0.205 0.228
I 0.236 0.914 0.251
I 0.926 0.590 0.241
I 0.388 0.795 0.772

[19]
The following is a DFT calculation (PBE-GGA) of a relaxed structure of Ti2AgI2.

- Electronic total energy: -4.27 eV per atom
- E above lowest polymorph: 0.00 eV/f.u.
- Uncorrected formation energy: 0.08 eV/atom

a b c (Å): 3.795 3.795 10.658
angles (deg): 79.74 79.74 90.00
Fractional coordinates of all 5 atoms:
I 0.352 0.352 0.296
I 0.648 0.648 0.704
Ag 0.000 0.000 0.000
Ti 0.750 0.250 0.500
Ti 0.250 0.750 0.500

[20]
The following is a DFT calculation (PBE-GGA) of a relaxed structure of Ti2AgI8.

- Electronic total energy: -3.43 eV per atom
- E above lowest polymorph: 0.06 eV/f.u.
- Uncorrected formation energy: -0.60 eV/atom

a b c (Å): 7.171 8.749 8.749
angles (deg): 83.74 89.90 89.90
Each line ends with the local moment (μB).
Fractional coordinates of all 11 atoms:
Ti 0.646 0.798 0.798  0.51
Ti 0.354 0.202 0.202  0.51
Ag 0.000 0.000 0.000  0.01
I 0.228 0.289 0.925  -0.02
I 0.772 0.075 0.711  -0.02
I 0.285 0.803 0.803  -0.02
I 0.715 0.197 0.197  -0.02
I 0.228 0.925 0.289  -0.02
I 0.772 0.711 0.075  -0.02
I 0.759 0.611 0.611  -0.02
I 0.241 0.389 0.389  -0.02

[21]
The following is a DFT calculation (PBE-GGA) of a relaxed structure of TiAgI2.

- Electronic total energy: -3.37 eV per atom
- E above lowest polymorph: 0.00 eV/f.u.
- Uncorrected formation energy: 0.09 eV/atom

a b c (Å): 6.759 6.759 7.852
angles (deg): 64.51 64.51 90.00
Each line ends with the local moment (μB).
Fractional coordinates of all 8 atoms:
I 0.614 0.125 0.250  -0.01
I 0.136 0.625 0.250  -0.01
I 0.375 0.386 0.750  -0.01
I 0.875 0.864 0.750  -0.01
Ag 0.000 0.000 0.000  0.07
Ag 0.750 0.250 0.500  0.07
Ti 0.500 0.500 0.000  2.01
Ti 0.250 0.750 0.500  2.01

[22]
The following is a DFT calculation (PBE-GGA) of a relaxed structure of TiAg2I6.

- Electronic total energy: -2.97 eV per atom
- E above lowest polymorph: 0.25 eV/f.u.
- Uncorrected formation energy: -0.42 eV/atom

a b c (Å): 7.002 7.002 12.991
angles (deg): 90.00 90.00 90.00
Fractional coordinates of all 18 atoms:
Ti 0.000 0.000 0.000
Ti 0.500 0.500 0.500
Ag 0.000 0.000 0.339
Ag 0.500 0.500 0.839
Ag 0.500 0.500 0.161
Ag 0.000 0.000 0.661
I 0.307 0.307 0.345
I 0.693 0.693 0.345
I 0.193 0.807 0.845
I 0.807 0.193 0.845
I 0.193 0.807 0.155
I 0.807 0.193 0.155
I 0.307 0.307 0.655
I 0.693 0.693 0.655
I 0.282 0.282 0.000
I 0.718 0.718 0.000
I 0.218 0.782 0.500
I 0.782 0.218 0.500

[23]
The following is a DFT calculation (PBE-GGA) of a relaxed structure of TiAg2I2.

- Electronic total energy: -2.87 eV per atom
- E above lowest polymorph: 0.28 eV/f.u.
- Uncorrected formation energy: 0.47 eV/atom

a b c (Å): 5.802 5.802 5.828
angles (deg): 60.15 60.15 90.00
Each line ends with the local moment (μB).
Fractional coordinates of all 5 atoms:
I 0.750 0.250 0.500  -0.04
I 0.250 0.750 0.500  -0.04
Ag 0.338 0.338 0.324  0.00
Ag 0.662 0.662 0.676  0.00
Ti 0.000 0.000 0.000  1.82

[24]
The following is a DFT calculation (PBE-GGA) of a relaxed structure of TiAg2I.

- Electronic total energy: -3.40 eV per atom
- E above lowest polymorph: 0.00 eV/f.u.
- Uncorrected formation energy: 0.39 eV/atom

a b c (Å): 8.161 8.161 6.392
angles (deg): 50.33 50.33 90.00
Each line ends with the local moment (μB).
Fractional coordinates of all 8 atoms:
I 0.000 0.000 0.000  -0.04
I 0.750 0.250 0.500  -0.04
Ag 0.607 0.125 0.250  0.00
Ag 0.143 0.625 0.250  0.00
Ag 0.375 0.393 0.750  0.00
Ag 0.875 0.857 0.750  0.00
Ti 0.500 0.500 0.000  0.84
Ti 0.250 0.750 0.500  0.85